[1]
{
  "formula": "Ac12Ge6F",
  "functional": "PBE-GGA",
  "state": "relaxed",
  "lattice_angstrom": [[6.9029, 3.9854, 4.2326], [-6.9029, 3.9854, 4.2326], [0.0000, -7.9708, 4.2326]],
  "species": ["Ac", "Ac", "Ac", "Ac", "Ac", "Ac", "Ac", "Ac", "Ac", "Ac", "Ac", "Ac", "Ge", "Ge", "Ge", "Ge", "Ge", "Ge", "F"],
  "frac_coords": [[0.0307, 0.6818, 0.9230], [0.0770, 0.9693, 0.3182], [0.1833, 0.4208, 0.5594], [0.3182, 0.0770, 0.9693], [0.4208, 0.5594, 0.1833], [0.4406, 0.8167, 0.5792], [0.5594, 0.1833, 0.4208], [0.5792, 0.4406, 0.8167], [0.6818, 0.9230, 0.0307], [0.8167, 0.5792, 0.4406], [0.9230, 0.0307, 0.6818], [0.9693, 0.3182, 0.0770], [0.1241, 0.6306, 0.2971], [0.2971, 0.1241, 0.6306], [0.3694, 0.7029, 0.8759], [0.6306, 0.2971, 0.1241], [0.7029, 0.8759, 0.3694], [0.8759, 0.3694, 0.7029], [0.0000, 0.0000, 0.0000]],
  "spacegroup": "R-3",
  "dft_energy_ev_per_atom": -4.78,
  "raw_formation_energy_ev_per_atom": -0.629,
  "crystal_system": "trigonal"
}


[2]
{
  "formula": "Ag3SbBr",
  "functional": "PBE-GGA",
  "state": "relaxed",
  "lattice_angstrom": [[5.3071, 0.0000, 0.0000], [0.0000, 5.3071, 0.0000], [0.0000, 0.0000, 5.3071]],
  "species": ["Ag", "Ag", "Ag", "Sb", "Br"],
  "frac_coords": [[0.0000, 0.0000, 0.5000], [0.0000, 0.5000, 0.0000], [0.5000, 0.0000, 0.0000], [0.0000, 0.0000, 0.0000], [0.5000, 0.5000, 0.5000]],
  "spacegroup": "Pm-3m",
  "dft_energy_ev_per_atom": -2.56,
  "de_polymorph_ev_per_fu": 0.00,
  "raw_formation_energy_ev_per_atom": 0.307,
  "crystal_system": "cubic"
}


[3]
{
  "formula": "K2NbS4",
  "functional": "PBE-GGA",
  "state": "relaxed",
  "lattice_angstrom": [[7.3297, 0.0000, 0.0000], [0.0000, 5.6342, 0.0000], [-1.4036, 0.0000, 11.4388]],
  "species": ["K", "K", "K", "K", "Nb", "Nb", "S", "S", "S", "S", "S", "S", "S", "S"],
  "frac_coords": [[0.2215, 0.2500, 0.4020], [0.2409, 0.2500, 0.9762], [0.7591, 0.7500, 0.0238], [0.7785, 0.7500, 0.5980], [0.3112, 0.7500, 0.7374], [0.6888, 0.2500, 0.2626], [0.0722, 0.7500, 0.8469], [0.2226, 0.7500, 0.5423], [0.4644, 0.5301, 0.2032], [0.4644, 0.9699, 0.2032], [0.5356, 0.0301, 0.7968], [0.5356, 0.4699, 0.7968], [0.7774, 0.2500, 0.4577], [0.9278, 0.2500, 0.1531]],
  "spacegroup": "P2_1/m",
  "dft_energy_ev_per_atom": -5.10,
  "de_polymorph_ev_per_fu": 0.00,
  "raw_formation_energy_ev_per_atom": -0.985,
  "crystal_system": "monoclinic"
}


[4]
{
  "formula": "TlAu2O",
  "functional": "PBE-GGA",
  "state": "relaxed",
  "lattice_angstrom": [[6.5804, 0.0000, 0.0000], [0.0000, 6.5804, 0.0000], [0.0000, 0.0000, 6.5804]],
  "species": ["Tl", "Tl", "Tl", "Tl", "Au", "Au", "Au", "Au", "Au", "Au", "Au", "Au", "O", "O", "O", "O"],
  "frac_coords": [[0.0000, 0.0000, 0.0000], [0.0000, 0.5000, 0.5000], [0.5000, 0.0000, 0.5000], [0.5000, 0.5000, 0.0000], [0.2500, 0.2500, 0.2500], [0.2500, 0.2500, 0.7500], [0.2500, 0.7500, 0.2500], [0.2500, 0.7500, 0.7500], [0.7500, 0.2500, 0.2500], [0.7500, 0.2500, 0.7500], [0.7500, 0.7500, 0.2500], [0.7500, 0.7500, 0.7500], [0.0000, 0.0000, 0.5000], [0.0000, 0.5000, 0.0000], [0.5000, 0.0000, 0.0000], [0.5000, 0.5000, 0.5000]],
  "spacegroup": "Fm-3m",
  "dft_energy_ev_per_atom": -3.07,
  "de_polymorph_ev_per_fu": 1.11,
  "raw_formation_energy_ev_per_atom": 0.396,
  "crystal_system": "cubic"
}


[5]
{
  "formula": "As2PtW",
  "functional": "PBE-GGA",
  "state": "relaxed",
  "lattice_angstrom": [[8.5336, 0.0000, 0.0000], [0.0000, 3.4276, 0.0000], [-1.3931, 0.0000, 4.6422]],
  "species": ["As", "As", "As", "As", "Pt", "Pt", "W", "W"],
  "frac_coords": [[0.0000, 0.0000, 0.0000], [0.2228, 0.0000, 0.6178], [0.5000, 0.5000, 0.0000], [0.7228, 0.5000, 0.6178], [0.2534, 0.5000, 0.1963], [0.7534, 0.0000, 0.1963], [0.0067, 0.5000, 0.5963], [0.5067, 0.0000, 0.5963]],
  "spacegroup": "Cm",
  "dft_energy_ev_per_atom": -7.03,
  "de_polymorph_ev_per_fu": 0.00,
  "e_form_ev_per_atom": 0.0417,
  "crystal_system": "monoclinic"
}


[6]
{
  "formula": "ScGaSnGe2",
  "functional": "PBE-GGA",
  "state": "relaxed",
  "lattice_angstrom": [[5.1342, 0.0000, 0.0000], [0.0000, 5.1342, 0.0000], [0.0000, 0.0000, 5.1870]],
  "species": ["Sc", "Ga", "Sn", "Ge", "Ge"],
  "frac_coords": [[0.0000, 0.0000, 0.0000], [0.0000, 0.0000, 0.5000], [0.5000, 0.5000, 0.5000], [0.0000, 0.5000, 0.0000], [0.5000, 0.0000, 0.0000]],
  "spacegroup": "P4/mmm",
  "dft_energy_ev_per_atom": -4.11,
  "e_form_ev_per_atom": 0.4095,
  "crystal_system": "tetragonal"
}


[7]
{
  "formula": "YTcF3",
  "functional": "PBE-GGA",
  "state": "relaxed",
  "lattice_angstrom": [[4.2640, 0.0000, 0.0000], [0.0000, 4.2640, 0.0000], [0.0000, 0.0000, 4.2640]],
  "species": ["Y", "Tc", "F", "F", "F"],
  "frac_coords": [[0.0000, 0.0000, 0.0000], [0.5000, 0.5000, 0.5000], [0.0000, 0.5000, 0.5000], [0.5000, 0.0000, 0.5000], [0.5000, 0.5000, 0.0000]],
  "spacegroup": "Pm-3m",
  "dft_energy_ev_per_atom": -5.63,
  "de_polymorph_ev_per_fu": 3.70,
  "raw_formation_energy_ev_per_atom": -1.145,
  "crystal_system": "cubic"
}


[8]
{
  "formula": "AcPrTeRh",
  "functional": "PBE-GGA",
  "state": "relaxed",
  "lattice_angstrom": [[7.5094, 0.0000, 0.0000], [0.0000, 4.3317, 0.0000], [-2.5112, 0.0000, 7.8302]],
  "species": ["Ac", "Ac", "Pr", "Pr", "Te", "Te", "Rh", "Rh"],
  "frac_coords": [[0.0000, 0.0000, 0.0000], [0.5000, 0.5000, 0.0000], [0.3058, 0.5000, 0.4177], [0.8058, 0.0000, 0.4177], [0.0642, 0.5000, 0.6918], [0.5642, 0.0000, 0.6918], [0.4047, 0.0000, 0.2141], [0.9047, 0.5000, 0.2141]],
  "spacegroup": "Cm",
  "dft_energy_ev_per_atom": -5.87,
  "raw_formation_energy_ev_per_atom": -1.023,
  "crystal_system": "monoclinic"
}


[9]
{
  "formula": "HoFeNi2",
  "functional": "PBE-GGA",
  "state": "relaxed",
  "lattice_angstrom": [[4.0462, 0.0000, 0.0000], [-2.0231, 3.5041, 0.0000], [0.0000, 0.0000, 13.7021]],
  "species": ["Ho", "Ho", "Ho", "Fe", "Fe", "Fe", "Ni", "Ni", "Ni", "Ni", "Ni", "Ni"],
  "frac_coords": [[0.0000, 0.0000, 0.0000], [0.3333, 0.6667, 0.6667], [0.6667, 0.3333, 0.3333], [0.0000, 0.0000, 0.5000], [0.3333, 0.6667, 0.1667], [0.6667, 0.3333, 0.8333], [0.0000, 0.0000, 0.2007], [0.0000, 0.0000, 0.7993], [0.3333, 0.6667, 0.4660], [0.3333, 0.6667, 0.8673], [0.6667, 0.3333, 0.1327], [0.6667, 0.3333, 0.5340]],
  "spacegroup": "R-3m",
  "dft_energy_ev_per_atom": -6.39,
  "e_form_ev_per_atom": -0.2417,
  "crystal_system": "trigonal"
}


[10]
{
  "formula": "Th2TaAg",
  "functional": "PBE-GGA",
  "state": "relaxed",
  "lattice_angstrom": [[3.2230, 0.0000, 0.0000], [-1.6115, 2.7912, 0.0000], [0.0000, 0.0000, 34.4261]],
  "species": ["Th", "Th", "Th", "Th", "Th", "Th", "Ta", "Ta", "Ta", "Ag", "Ag", "Ag"],
  "frac_coords": [[0.0000, 0.0000, 0.0860], [0.0000, 0.0000, 0.9140], [0.3333, 0.6667, 0.5806], [0.3333, 0.6667, 0.7527], [0.6667, 0.3333, 0.2473], [0.6667, 0.3333, 0.4194], [0.0000, 0.0000, 0.0000], [0.3333, 0.6667, 0.6667], [0.6667, 0.3333, 0.3333], [0.0000, 0.0000, 0.5000], [0.3333, 0.6667, 0.1667], [0.6667, 0.3333, 0.8333]],
  "spacegroup": "R-3m",
  "dft_energy_ev_per_atom": -6.80,
  "e_form_ev_per_atom": 0.5900,
  "crystal_system": "trigonal"
}


[11]
{
  "formula": "SrCa2MgNi",
  "functional": "PBE-GGA",
  "state": "relaxed",
  "lattice_angstrom": [[5.5158, 0.0000, 0.0000], [0.0000, 5.5158, 0.0000], [0.0000, 0.0000, 5.2466]],
  "species": ["Sr", "Ca", "Ca", "Mg", "Ni"],
  "frac_coords": [[0.0000, 0.0000, 0.0000], [0.0000, 0.5000, 0.5000], [0.5000, 0.0000, 0.5000], [0.5000, 0.5000, 0.0000], [0.5000, 0.5000, 0.5000]],
  "spacegroup": "P4/mmm",
  "dft_energy_ev_per_atom": -2.64,
  "de_polymorph_ev_per_fu": 0.00,
  "e_form_ev_per_atom": -0.0279,
  "crystal_system": "tetragonal"
}


[12]
{
  "formula": "PuTiTe3",
  "functional": "PBE-GGA",
  "state": "relaxed",
  "lattice_angstrom": [[12.1022, 0.0000, 0.0000], [0.0000, 7.5305, 0.0000], [0.0000, 0.0000, 6.1361]],
  "species": ["Pu", "Pu", "Pu", "Pu", "Ti", "Ti", "Ti", "Ti", "Te", "Te", "Te", "Te", "Te", "Te", "Te", "Te", "Te", "Te", "Te", "Te"],
  "frac_coords": [[0.1626, 0.0525, 0.2500], [0.1626, 0.4475, 0.7500], [0.8374, 0.5525, 0.2500], [0.8374, 0.9475, 0.7500], [0.4192, 0.2500, 0.0000], [0.4192, 0.2500, 0.5000], [0.5808, 0.7500, 0.0000], [0.5808, 0.7500, 0.5000], [0.0336, 0.7500, 0.0000], [0.0336, 0.7500, 0.5000], [0.2581, 0.0677, 0.7500], [0.2581, 0.4323, 0.2500], [0.4117, 0.5805, 0.7500], [0.4117, 0.9195, 0.2500], [0.5883, 0.0805, 0.7500], [0.5883, 0.4195, 0.2500], [0.7419, 0.5677, 0.7500], [0.7419, 0.9323, 0.2500], [0.9664, 0.2500, 0.0000], [0.9664, 0.2500, 0.5000]],
  "spacegroup": "Pbcm",
  "dft_energy_ev_per_atom": -7.17,
  "raw_formation_energy_ev_per_atom": -0.836,
  "crystal_system": "orthorhombic"
}


no.,DOS at the Fermi energy (states/eV per cell),magnetization (μB/cell)
1,18.41,0.0
2,9.57,0.0
3,2.75,0.0
4,5.90,0.0
5,2.21,0.0
6,2.60,0.3
7,5.70,0.0
8,5.82,0.0
9,8.15,8.7
10,14.29,0.0
11,4.49,0.0
12,42.49,24.0